--- 1 ---
An optimized crystal structure of CeSm3P4. Source: the Alexandria database, functional GGA-PBE.

Values from the calculation:
- ρ: 6.07 Mg/m³

Cell: 5.8062 5.8062 5.8062 Å, 90.00 90.00 90.00°
Space group Pm-3m (No. 221)
Unique sites:
1 Ce 0.0000 0.0000 0.0000 x1
2 Sm 0.0000 0.5000 0.5000 x3
3 P 0.0000 0.0000 0.5000 x3
4 P 0.5000 0.5000 0.5000 x1

--- 2 ---
An optimized crystal structure of CeSm3P4. Source: the Alexandria database, functional GGA-PBE.

Values from the calculation:
- ρ: 6.09 Mg/m³

Cell: 8.2034 11.5857 4.1008 Å, 90.00 90.00 90.00°
Space group Cmmm (No. 65)
Unique sites:
1 Ce 0.0000 0.0000 0.0000 x2
2 Sm 0.0000 0.5000 0.0000 x2
3 Sm 0.2500 0.2500 0.5000 x4
4 P 0.0000 0.2478 0.0000 x4
5 P 0.2471 0.0000 0.5000 x4

Stability summary - winner: 2; margin: 8 meV per atom.

--- 1 ---
An optimized crystal structure of Ce2SnP. Source: the Alexandria database, functional GGA-PBE.

Values from the calculation:
- ρ: 7.30 Mg/m³

Cell: 3.4844 3.4844 8.0548 Å, 90.00 90.00 90.00°
Space group P4/mmm (No. 123)
Unique sites:
1 Ce 0.0000 0.0000 0.2095 x2
2 Sn 0.5000 0.5000 0.5000 x1
3 P 0.5000 0.5000 0.0000 x1

--- 2 ---
An optimized crystal structure of Ce2SnP. Source: the Alexandria database, functional GGA-PBE.

Values from the calculation:
- ρ: 6.42 Mg/m³

Cell: 3.9372 3.9372 24.8547 Å, 90.00 90.00 120.00°
Space group R3m (No. 160, hexagonal axes)
Unique sites:
1 Ce 0.0000 0.0000 0.0000 x3
2 Ce 0.0000 0.0000 0.1983 x3
3 Sn 0.0000 0.0000 0.7664 x3
4 P 0.0000 0.0000 0.5988 x3

Stability summary - winner: 2; margin: 5 meV per atom.